(1)
The following is a DFT calculation (PBE) of a relaxed TlAsNO2 crystal.

Structure (CIF):
```
data_TlAsNO2
_cell_length_a 4.155
_cell_length_b 4.155
_cell_length_c 4.345
_cell_angle_alpha 90.00
_cell_angle_beta 90.00
_cell_angle_gamma 90.00
_symmetry_space_group_name_H-M 'P 4/m m m'
_symmetry_Int_Tables_number 123
_symmetry_space_group_name_Hall '-P 4 2'
loop_
_atom_site_label
_atom_site_type_symbol
_atom_site_fract_x
_atom_site_fract_y
_atom_site_fract_z
Tl1 Tl 0.000 0.000 0.000
As1 As 0.500 0.500 0.500
N1 N 0.000 0.000 0.500
O1 O 0.000 0.500 0.000
```

## Properties
E_form (uncorrected) ... 1.13 eV per atom
N(E_F) ... 0.2686 states/eV per atom

---

(2)
The following is a DFT calculation (PBE) of a relaxed TlAsNO2 crystal.

Structure (CIF):
```
data_TlAsNO2
_cell_length_a 3.773
_cell_length_b 3.773
_cell_length_c 4.197
_cell_angle_alpha 90.00
_cell_angle_beta 90.00
_cell_angle_gamma 90.00
_symmetry_space_group_name_H-M 'P 4/m m m'
_symmetry_Int_Tables_number 123
_symmetry_space_group_name_Hall '-P 4 2'
loop_
_atom_site_label
_atom_site_type_symbol
_atom_site_fract_x
_atom_site_fract_y
_atom_site_fract_z
Tl1 Tl 0.000 0.000 0.000
As1 As 0.500 0.500 0.500
N1 N 0.500 0.500 0.000
O1 O 0.000 0.500 0.500
```

## Properties
E_form (uncorrected) ... -0.01 eV per atom
N(E_F) ... 0.2137 states/eV per atom

---

What volume values result from the calculations? In sequence: 75.0, 59.7 Å³/f.u..